Here is a relaxed Mg2ReBRh crystal from the Alexandria database. Energies are from PBE.

The structure in POSCAR format:
```
Mg2ReBRh
1.0
4.307 0.000 0.000
0.000 4.307 0.000
0.000 0.000 4.092
Mg Re B Rh
2 1 1 1
direct
0.000 0.500 0.000
0.500 0.000 0.000
0.000 0.000 0.500
0.000 0.000 0.000
0.500 0.500 0.500
```

Summary:
D(E_F) (states/eV/cell): 4.4
E_form (eV/atom): 0.336
Crystal system: tetragonal